(1)
Entry from Alexandria: a relaxed Ce6PuAg2 crystal (PBE-GGA).

Cell: 7.0236 7.0236 7.0266 Å, 59.99 59.99 60.03°
Closest atoms and distances in Å follow each position.
Fractional positions:
Ce (0.2544, 0.2544, 0.7449)  1 Pu 2.44
Ce (0.2548, 0.7457, 0.2543)  1 Pu 2.44
Ce (0.7452, 0.2543, 0.7457)  1 Pu 2.44
Ce (0.7457, 0.2548, 0.2543)  1 Pu 2.44
Ce (0.2543, 0.7452, 0.7457)  1 Pu 2.44
Ce (0.7456, 0.7456, 0.2551)  1 Pu 2.44
Pu (0.5000, 0.5000, 0.5000)  6 Ce 2.44
Ag (0.2500, 0.2500, 0.2498)  12 Ce 3.51-3.52
Ag (0.7500, 0.7500, 0.7502)  12 Ce 3.51-3.52

Results
DOS at the Fermi energy	2.61	states/eV/atom
magnetization	0.05	μB/atom
space group	C2/m (12)
energy of formation from the pure elements	-0.09	eV per atom

---

(2)
Entry from Alexandria: a relaxed CePuAg crystal (PBE-GGA).

Cell: 5.2883 5.2891 5.8145 Å, 90.02 90.02 55.07°
Closest atoms and distances in Å follow each position.
Fractional positions:
Ce (0.1178, 0.4448, 0.3826)  4 Pu 2.81-2.91
Ce (0.4580, 0.7851, 0.8827)  4 Pu 2.81-2.91
Pu (0.4703, 0.7972, 0.3825)  4 Ce 2.81-2.91
Pu (0.1054, 0.4327, 0.8827)  4 Ce 2.81-2.91
Ag (0.7879, 0.1150, 0.6326)  2 Ag 2.91
Ag (0.7878, 0.1150, 0.1326)  2 Ag 2.91

Results
DOS at the Fermi energy	1.69	states/eV/atom
polymorph energy (0 for the lowest one)	0.000	eV per atom
magnetization	0.00	μB/atom
space group	Cmcm (63)
energy of formation from the pure elements	-0.03	eV per atom

---

(3)
Entry from Alexandria: a relaxed CePuAg crystal (PBE-GGA).

Cell: 3.6791 3.6791 5.8838 Å, 108.22 108.22 90.00°
Closest atoms and distances in Å follow each position.
Fractional positions:
Ag (0.6672, 0.6672, 0.3344)  5 Ce 3.19-3.43, 5 Pu 3.20-3.42
Ce (0.3419, 0.3419, 0.6837)  4 Pu 3.04, 4 Ag 3.19
Pu (0.9909, 0.9909, 0.9818)  4 Ce 3.04, 4 Ag 3.20

Results
DOS at the Fermi energy	2.25	states/eV/atom
polymorph energy (0 for the lowest one)	0.080	eV per atom
magnetization	2.21	μB/atom
space group	I4mm (107)
energy of formation from the pure elements	0.05	eV per atom